1.
LiLaRe2 (PBE, relaxed); ΔE to the lowest computed polymorph = 282 meV/atom; ΔE_f = 2.08 eV/f.u.
1.0
-1.0706 -0.2432 2.6384
1.2992 -2.3688 -0.9314
8.7420 3.2811 3.8497
La Li Re
1 1 2
Cartesian
4.1610 1.5617 1.8323 La
7.0557 1.2994 3.9103 Li
0.1197 0.0449 0.0527 Re
2.0052 -0.5963 1.6862 Re



2.
Sc2MnTe (PBE, relaxed); formation energy from raw total energies = 0.166 eV/atom
1.0
2.0236 -2.7107 8.9839
4.7801 -3.7652 7.4247
4.5443 -0.5926 8.4351
Sc Te Mn
2 1 1
Cartesian
10.1493 -6.3218 22.2195 Sc
1.1987 -0.7466 2.6242 Sc
0.0000 0.0000 0.0000 Te
5.6740 -3.5342 12.4219 Mn